# 1
This record from Alexandria via LeMat-Bulk describes a relaxed structure of CeAl10Pd2. The functional is PBE-GGA.

Calculated values
The formation energy is -0.41 eV/atom. The value obtained for the total moment is 0.04 μB per atom. Its symmetry is Fmmm (69).

a = 5.445 Å, b = 7.142 Å, c = 6.787 Å
α = 81.21°, β = 66.35°, γ = 67.59°
Each line ends with the local moment (μB).
Fractional coordinates of all 13 atoms:
Al1 0.723 0.772 0.782  0.00
Al2 0.650 0.357 0.344  0.00
Al3 0.993 0.357 0.656  0.00
Al4 0.505 0.772 0.218  0.00
Pd1 0.500 0.500 0.000  0.00
Ce1 0.000 0.000 0.000  0.40
Al5 0.350 0.643 0.656  0.00
Pd2 0.000 0.500 0.000  0.00
Al6 0.277 0.228 0.218  0.00
Al7 0.500 0.000 0.500  0.00
Al8 0.495 0.228 0.782  0.00
Al9 0.000 0.000 0.500  0.00
Al10 0.007 0.643 0.344  0.00

---

# 2
This record from Alexandria via LeMat-Bulk describes a relaxed structure of Zr2ZnGa. The functional is PBE-GGA.

Calculated values
The formation energy is -0.41 eV/atom. The value obtained for the total moment is 0.00 μB per atom. Its symmetry is P2_1/m (11).

a = 4.133 Å, b = 5.672 Å, c = 6.907 Å
α = 107.83°, β = 90.00°, γ = 90.00°
Fractional coordinates of all 8 atoms:
Ga1 0.750 0.646 0.789
Ga2 0.250 0.354 0.211
Zr1 0.250 0.814 0.575
Zn1 0.750 0.643 0.282
Zr2 0.750 0.186 0.425
Zn2 0.250 0.357 0.718
Zr3 0.750 0.176 0.915
Zr4 0.250 0.824 0.085

---

What did the second record say?
This record from Alexandria via LeMat-Bulk describes a relaxed structure of Zr2ZnGa. The functional is PBE-GGA.

Calculated values
The formation energy is -0.41 eV/atom. The value obtained for the total moment is 0.00 μB per atom. Its symmetry is P2_1/m (11).

a = 4.133 Å, b = 5.672 Å, c = 6.907 Å
α = 107.83°, β = 90.00°, γ = 90.00°
Fractional coordinates of all 8 atoms:
Ga1 0.750 0.646 0.789
Ga2 0.250 0.354 0.211
Zr1 0.250 0.814 0.575
Zn1 0.750 0.643 0.282
Zr2 0.750 0.186 0.425
Zn2 0.250 0.357 0.718
Zr3 0.750 0.176 0.915
Zr4 0.250 0.824 0.085

---

What is the formation energy in the second record? -0.41 eV/atom

---

What is the total moment in the second record? 0.00 μB per atom

---

Which value of total moment does entry 2 give? 0.00 μB per atom